[1]
# Na2B3C PBE-GGA relaxed
data_Na2B3C
_chemical_formula_sum 'Na4 B6 C2'
_symmetry_space_group_name_H-M 'P 1'
_symmetry_Int_Tables_number 1
_symmetry_space_group_name_Hall 'P 1'
_cell_length_a 2.7897
_cell_length_b 8.6546
_cell_length_c 5.2498
_cell_angle_alpha 90.00
_cell_angle_beta 90.00
_cell_angle_gamma 90.00
loop_
_atom_site_label
_atom_site_type_symbol
_atom_site_fract_x
_atom_site_fract_y
_atom_site_fract_z
_atom_site_occupancy
Na1 Na 0.2500 0.0015 0.2478 1
Na2 Na 0.2500 0.4985 0.2478 1
Na3 Na 0.7500 0.5015 0.7522 1
Na4 Na 0.7500 0.9985 0.7522 1
B1 B 0.2500 0.2500 0.6151 1
B2 B 0.2500 0.7500 0.5996 1
B3 B 0.2500 0.7500 0.9301 1
B4 B 0.7500 0.2500 0.0699 1
B5 B 0.7500 0.2500 0.4004 1
B6 B 0.7500 0.7500 0.3849 1
C1 C 0.2500 0.2500 0.9126 1
C2 C 0.7500 0.7500 0.0874 1
# Space-group type: Pmmn
# Offset from the most stable computed form: 2.3 meV/atom

[2]
# Na5B6C4 PBE-GGA relaxed
data_Na5B6C4
_chemical_formula_sum 'Na10 B12 C8'
_symmetry_space_group_name_H-M 'P 1'
_symmetry_Int_Tables_number 1
_symmetry_space_group_name_Hall 'P 1'
_cell_length_a 7.5238
_cell_length_b 7.5238
_cell_length_c 8.9535
_cell_angle_alpha 107.43
_cell_angle_beta 107.43
_cell_angle_gamma 38.64
loop_
_atom_site_label
_atom_site_type_symbol
_atom_site_fract_x
_atom_site_fract_y
_atom_site_fract_z
_atom_site_occupancy
Na1 Na 0.0495 0.0495 0.2479 1
Na2 Na 0.1503 0.1504 0.7521 1
Na3 Na 0.2504 0.2478 0.2478 1
Na4 Na 0.3513 0.3486 0.7521 1
Na5 Na 0.4510 0.4487 0.2494 1
Na6 Na 0.5513 0.5490 0.7506 1
Na7 Na 0.6514 0.6487 0.2479 1
Na8 Na 0.7522 0.7496 0.7522 1
Na9 Na 0.8496 0.8497 0.2479 1
Na10 Na 0.9505 0.9505 0.7521 1
B1 B 0.1334 0.4666 0.0000 1
B2 B 0.1449 0.8551 0.5000 1
B3 B 0.2394 0.5602 0.5000 1
B4 B 0.3334 0.6666 0.0000 1
B5 B 0.3617 0.0468 0.5000 1
B6 B 0.4398 0.7606 0.5000 1
B7 B 0.5334 0.8666 0.0000 1
B8 B 0.5783 0.2201 0.5000 1
B9 B 0.7334 0.0666 0.0000 1
B10 B 0.7799 0.4217 0.5000 1
B11 B 0.9334 0.2666 0.0000 1
B12 B 0.9532 0.6383 0.5000 1
C1 C 0.0357 0.3646 0.4999 1
C2 C 0.0672 0.7327 0.9998 1
C3 C 0.2673 0.9328 0.0002 1
C4 C 0.4671 0.1329 0.0001 1
C5 C 0.6354 0.9643 0.5001 1
C6 C 0.6670 0.3330 0.0000 1
C7 C 0.8358 0.1642 0.5000 1
C8 C 0.8671 0.5329 0.9999 1
# Space-group type: C2
# Offset from the most stable computed form: 25.7 meV/atom

[3]
# Na5B6C4 PBE-GGA relaxed
data_Na5B6C4
_chemical_formula_sum 'Na10 B12 C8'
_symmetry_space_group_name_H-M 'P 1'
_symmetry_Int_Tables_number 1
_symmetry_space_group_name_Hall 'P 1'
_cell_length_a 4.9519
_cell_length_b 7.5816
_cell_length_c 8.9515
_cell_angle_alpha 72.34
_cell_angle_beta 90.00
_cell_angle_gamma 70.95
loop_
_atom_site_label
_atom_site_type_symbol
_atom_site_fract_x
_atom_site_fract_y
_atom_site_fract_z
_atom_site_occupancy
Na1 Na 0.0000 0.0000 0.0000 1
Na2 Na 0.0984 0.8000 0.5021 1
Na3 Na 0.1989 0.6002 0.9998 1
Na4 Na 0.2994 0.4018 0.4979 1
Na5 Na 0.4005 0.1997 0.0020 1
Na6 Na 0.5000 0.0000 0.5000 1
Na7 Na 0.5995 0.8003 0.9980 1
Na8 Na 0.7006 0.5982 0.5021 1
Na9 Na 0.8011 0.3998 0.0002 1
Na10 Na 0.9016 0.2000 0.4979 1
B1 B 0.0157 0.3001 0.7500 1
B2 B 0.1665 0.3001 0.2501 1
B3 B 0.2082 0.9111 0.7503 1
B4 B 0.3841 0.9004 0.2496 1
B5 B 0.4193 0.4885 0.7497 1
B6 B 0.4821 0.7000 0.7497 1
B7 B 0.5179 0.3000 0.2503 1
B8 B 0.5807 0.5115 0.2503 1
B9 B 0.6159 0.0996 0.7504 1
B10 B 0.7918 0.0889 0.2497 1
B11 B 0.8335 0.6999 0.7499 1
B12 B 0.9843 0.6999 0.2500 1
C1 C 0.0840 0.4976 0.7493 1
C2 C 0.1181 0.0979 0.2494 1
C3 C 0.2764 0.1052 0.7508 1
C4 C 0.3181 0.7058 0.2500 1
C5 C 0.6819 0.2942 0.7500 1
C6 C 0.7236 0.8948 0.2492 1
C7 C 0.8819 0.9021 0.7506 1
C8 C 0.9160 0.5024 0.2507 1
# Space-group type: P-1
# Offset from the most stable computed form: 32.0 meV/atom

[4]
# NaBC PBE-GGA relaxed
data_NaBC
_chemical_formula_sum 'Na2 B2 C2'
_symmetry_space_group_name_H-M 'P 1'
_symmetry_Int_Tables_number 1
_symmetry_space_group_name_Hall 'P 1'
_cell_length_a 2.8501
_cell_length_b 7.6489
_cell_length_c 4.4143
_cell_angle_alpha 90.00
_cell_angle_beta 90.22
_cell_angle_gamma 90.00
loop_
_atom_site_label
_atom_site_type_symbol
_atom_site_fract_x
_atom_site_fract_y
_atom_site_fract_z
_atom_site_occupancy
Na1 Na 0.0057 0.0000 0.2504 1
Na2 Na 0.9943 0.5000 0.7496 1
B1 B 0.4838 0.3333 0.2497 1
B2 B 0.5162 0.8333 0.7503 1
C1 C 0.0165 0.8333 0.7503 1
C2 C 0.9835 0.3333 0.2497 1
# Electronic total energy: -5.620 eV per atom
# Space-group type: P2_1

[5]
# Na5B8C2 PBE-GGA relaxed
data_Na5B8C2
_chemical_formula_sum 'Na10 B16 C4'
_symmetry_space_group_name_H-M 'P 1'
_symmetry_Int_Tables_number 1
_symmetry_space_group_name_Hall 'P 1'
_cell_length_a 9.1415
_cell_length_b 9.1415
_cell_length_c 13.6995
_cell_angle_alpha 112.29
_cell_angle_beta 112.29
_cell_angle_gamma 17.75
loop_
_atom_site_label
_atom_site_type_symbol
_atom_site_fract_x
_atom_site_fract_y
_atom_site_fract_z
_atom_site_occupancy
Na1 Na 0.0000 0.0000 0.0000 1
Na2 Na 0.0000 0.0000 0.5000 1
Na3 Na 0.2002 0.2002 0.3989 1
Na4 Na 0.1998 0.1998 0.9014 1
Na5 Na 0.3981 0.3981 0.2973 1
Na6 Na 0.3998 0.3998 0.8030 1
Na7 Na 0.6002 0.6002 0.1970 1
Na8 Na 0.6019 0.6019 0.7027 1
Na9 Na 0.8002 0.8002 0.0986 1
Na10 Na 0.7998 0.7998 0.6011 1
B1 B 0.0252 0.0252 0.2989 1
B2 B 0.1713 0.1713 0.0919 1
B3 B 0.1721 0.1721 0.5956 1
B4 B 0.2377 0.2377 0.7268 1
B5 B 0.3692 0.3692 0.9882 1
B6 B 0.3697 0.3697 0.4897 1
B7 B 0.4320 0.4320 0.6158 1
B8 B 0.4350 0.4350 0.1194 1
B9 B 0.5650 0.5650 0.8806 1
B10 B 0.5680 0.5680 0.3842 1
B11 B 0.6303 0.6303 0.5103 1
B12 B 0.6308 0.6308 0.0118 1
B13 B 0.7623 0.7623 0.2732 1
B14 B 0.8279 0.8279 0.4044 1
B15 B 0.8287 0.8287 0.9081 1
B16 B 0.9748 0.9748 0.7011 1
C1 C 0.0336 0.0336 0.8175 1
C2 C 0.2314 0.2314 0.2114 1
C3 C 0.7686 0.7686 0.7886 1
C4 C 0.9664 0.9664 0.1825 1
# Space-group type: C2/m
# Offset from the most stable computed form: 14.5 meV/atom

[6]
# Na5B9C PBE-GGA relaxed
data_Na5B9C
_chemical_formula_sum 'Na10 B18 C2'
_symmetry_space_group_name_H-M 'P 1'
_symmetry_Int_Tables_number 1
_symmetry_space_group_name_Hall 'P 1'
_cell_length_a 11.9862
_cell_length_b 11.9862
_cell_length_c 10.3089
_cell_angle_alpha 104.93
_cell_angle_beta 104.93
_cell_angle_gamma 13.46
loop_
_atom_site_label
_atom_site_type_symbol
_atom_site_fract_x
_atom_site_fract_y
_atom_site_fract_z
_atom_site_occupancy
Na1 Na 0.0000 0.0000 0.0000 1
Na2 Na 0.1005 0.1005 0.7006 1
Na3 Na 0.2002 0.2002 0.4022 1
Na4 Na 0.3002 0.3002 0.0992 1
Na5 Na 0.3991 0.3991 0.7982 1
Na6 Na 0.5000 0.5000 0.5000 1
Na7 Na 0.6009 0.6009 0.2018 1
Na8 Na 0.6998 0.6998 0.9008 1
Na9 Na 0.7998 0.7998 0.5978 1
Na10 Na 0.8995 0.8995 0.2994 1
B1 B 0.0212 0.0212 0.2926 1
B2 B 0.0834 0.0834 0.4165 1
B3 B 0.1228 0.1228 0.9951 1
B4 B 0.1843 0.1843 0.1183 1
B5 B 0.2754 0.2754 0.8000 1
B6 B 0.3121 0.3121 0.3755 1
B7 B 0.3764 0.3764 0.5030 1
B8 B 0.4184 0.4184 0.0876 1
B9 B 0.4801 0.4801 0.2105 1
B10 B 0.5199 0.5199 0.7895 1
B11 B 0.5816 0.5816 0.9124 1
B12 B 0.6236 0.6236 0.4970 1
B13 B 0.6879 0.6879 0.6245 1
B14 B 0.7246 0.7246 0.2000 1
B15 B 0.8157 0.8157 0.8817 1
B16 B 0.8772 0.8772 0.0049 1
B17 B 0.9166 0.9166 0.5835 1
B18 B 0.9788 0.9788 0.7074 1
C1 C 0.2183 0.2183 0.6847 1
C2 C 0.7817 0.7817 0.3153 1
# Space-group type: C2/m
# Offset from the most stable computed form: 1.5 meV/atom